# 1
! Al2ZnSb | Alexandria | PBE | optimized geometry; values from VASP
&SYSTEM
  ibrav = 0, nat = 4, ntyp = 3
/
ATOMIC_SPECIES
Al 26.98 Al.upf
Zn 65.41 Zn.upf
Sb 121.76 Sb.upf
CELL_PARAMETERS angstrom
0.000 3.438 3.438
3.438 0.000 3.438
3.438 3.438 0.000
ATOMIC_POSITIONS crystal
Al 0.000 0.000 0.000
Al 0.250 0.250 0.250
Zn 0.750 0.750 0.750
Sb 0.500 0.500 0.500
! relative energy among the computed polymorphs: 8.0 kJ per mole of atoms
! SG: F-43m
! crystal system: cubic
! energy relative to the elements, uncorrected: 0.22 eV per atom
! density: 4.926 g/cm³

# 2
! AlZn2Sb | Alexandria | PBE | optimized geometry; values from VASP
&SYSTEM
  ibrav = 0, nat = 4, ntyp = 3
/
ATOMIC_SPECIES
Al 26.98 Al.upf
Zn 65.41 Zn.upf
Sb 121.76 Sb.upf
CELL_PARAMETERS angstrom
3.024 0.000 0.000
0.000 3.024 0.000
0.000 0.000 8.482
ATOMIC_POSITIONS crystal
Al 0.000 0.000 0.000
Zn 0.500 0.500 0.215
Zn 0.500 0.500 0.785
Sb 0.000 0.000 0.500
! relative energy among the computed polymorphs: 2.9 kJ per mole of atoms
! SG: P4/mmm
! crystal system: tetragonal
! energy relative to the elements, uncorrected: 0.15 eV per atom
! density: 5.986 g/cm³

# 3
! Al2ZnSb | Alexandria | PBE | optimized geometry; values from VASP
&SYSTEM
  ibrav = 0, nat = 4, ntyp = 3
/
ATOMIC_SPECIES
Al 26.98 Al.upf
Zn 65.41 Zn.upf
Sb 121.76 Sb.upf
CELL_PARAMETERS angstrom
0.000 3.434 3.434
3.434 0.000 3.434
3.434 3.434 0.000
ATOMIC_POSITIONS crystal
Al 0.250 0.250 0.250
Al 0.750 0.750 0.750
Zn 0.000 0.000 0.000
Sb 0.500 0.500 0.500
! relative energy among the computed polymorphs: 9.7 kJ per mole of atoms
! SG: Fm-3m
! crystal system: cubic
! energy relative to the elements, uncorrected: 0.24 eV per atom
! density: 4.944 g/cm³

# 4
! Al2ZnSb | Alexandria | PBE | optimized geometry; values from VASP
&SYSTEM
  ibrav = 0, nat = 4, ntyp = 3
/
ATOMIC_SPECIES
Al 26.98 Al.upf
Zn 65.41 Zn.upf
Sb 121.76 Sb.upf
CELL_PARAMETERS angstrom
4.089 0.000 0.000
0.000 4.089 0.000
0.000 0.000 4.757
ATOMIC_POSITIONS crystal
Al 0.000 0.500 0.000
Al 0.500 0.000 0.000
Zn 0.000 0.000 0.500
Sb 0.500 0.500 0.500
! relative energy among the computed polymorphs: 4.7 kJ per mole of atoms
! SG: P4/mmm
! crystal system: tetragonal
! energy relative to the elements, uncorrected: 0.19 eV per atom
! density: 5.033 g/cm³

# 5
! Al2ZnSb | Alexandria | PBE | optimized geometry; values from VASP
&SYSTEM
  ibrav = 0, nat = 4, ntyp = 3
/
ATOMIC_SPECIES
Al 26.98 Al.upf
Zn 65.41 Zn.upf
Sb 121.76 Sb.upf
CELL_PARAMETERS angstrom
3.025 -3.748 0.000
3.025 3.748 0.000
0.000 0.000 3.537
ATOMIC_POSITIONS crystal
Al 0.000 0.500 0.000
Al 0.500 0.000 0.000
Zn 0.000 0.000 0.500
Sb 0.500 0.500 0.500
! relative energy among the computed polymorphs: 5.4 kJ per mole of atoms
! SG: Cmmm
! crystal system: orthorhombic
! energy relative to the elements, uncorrected: 0.20 eV per atom
! density: 4.993 g/cm³

# 6
! Al2ZnSb | Alexandria | PBE | optimized geometry; values from VASP
&SYSTEM
  ibrav = 0, nat = 4, ntyp = 3
/
ATOMIC_SPECIES
Al 26.98 Al.upf
Zn 65.41 Zn.upf
Sb 121.76 Sb.upf
CELL_PARAMETERS angstrom
2.777 -5.231 0.000
2.777 5.231 0.000
-2.221 0.000 2.817
ATOMIC_POSITIONS crystal
Al 0.000 0.500 0.000
Al 0.500 0.000 0.000
Zn 0.000 0.000 0.500
Sb 0.500 0.500 0.500
! relative energy among the computed polymorphs: 3.5 kJ per mole of atoms
! SG: C2/m
! crystal system: monoclinic
! energy relative to the elements, uncorrected: 0.18 eV per atom
! density: 4.893 g/cm³